This record from Alexandria via LeMat-Bulk describes an optimized crystal structure of Ba3NiF. The functional is PBE+U.

POSCAR file:
```
Ba3NiF
1.0
5.5021 0.0000 0.0000
0.0000 5.5021 0.0000
0.0000 0.0000 5.5021
Ba Ni F
3 1 1
direct
0.0000 0.0000 0.5000
0.0000 0.5000 0.0000
0.5000 0.0000 0.0000
0.5000 0.5000 0.5000
0.0000 0.0000 0.0000
```

Values from the calculation:
The calculation puts the calculated volume at 33.3 Å³ per atom. The energy comes out at -12.54 eV/cell. The value obtained for the energy above the most stable polymorph in this dataset is 0.00 eV per formula unit. As for the density of states at the Fermi level: 5.4 states/eV/cell.